Record 1
The following is a DFT calculation (PBE) of a geometry-optimized PrNdEuDy structure.

abc: 5.8663 5.8663 5.8663
angles: 60.00 60.00 60.00
Last column: magnetic moment on the atom in μB.
Positions (direct):
1 Eu 0.0000 0.0000 0.0000  6.87
2 Pr 0.7500 0.7500 0.7500  0.11
3 Nd 0.2500 0.2500 0.2500  0.10
4 Dy 0.5000 0.5000 0.5000  0.13

Results
E_form = 0.131 eV/atom
VASP energy = -23.899 eV/cell
Density = 6.97 g/cm3
SG = F-43m, No. 216
Crystal system = cubic
V = 35.69 Å³/atom

Record 2
The following is a DFT calculation (PBE) of a geometry-optimized NdEuDySn structure.

abc: 5.5279 5.5279 5.5279
angles: 60.00 60.00 60.00
Last column: magnetic moment on the atom in μB.
Positions (direct):
1 Eu 0.7500 0.7500 0.7500  -6.97
2 Nd 0.0000 0.0000 0.0000  -0.15
3 Sn 0.2500 0.2500 0.2500  0.03
4 Dy 0.5000 0.5000 0.5000  -0.21

Results
E_form = -0.258 eV/atom
VASP energy = -24.680 eV/cell
Density = 8.03 g/cm3
SG = F-43m, No. 216
Crystal system = cubic
V = 29.86 Å³/atom

Record 3
The following is a DFT calculation (PBE) of a geometry-optimized SrNdEuDy structure.

abc: 6.0385 6.0385 6.0385
angles: 60.00 60.00 60.00
Last column: magnetic moment on the atom in μB.
Positions (direct):
1 Eu 0.5000 0.5000 0.5000  6.88
2 Sr 0.2500 0.2500 0.2500  0.01
3 Nd 0.0000 0.0000 0.0000  0.04
4 Dy 0.7500 0.7500 0.7500  0.06

Results
E_form = 0.195 eV/atom
VASP energy = -20.545 eV/cell
Density = 5.83 g/cm3
SG = F-43m, No. 216
Crystal system = cubic
V = 38.92 Å³/atom

Record 4
The following is a DFT calculation (PBE) of a geometry-optimized NdEuDyTl structure.

abc: 5.5884 5.5884 5.5884
angles: 60.00 60.00 60.00
Last column: magnetic moment on the atom in μB.
Positions (direct):
1 Eu 0.5000 0.5000 0.5000  6.94
2 Tl 0.0000 0.0000 0.0000  -0.02
3 Nd 0.7500 0.7500 0.7500  0.12
4 Dy 0.2500 0.2500 0.2500  0.18

Results
E_form = -0.053 eV/atom
VASP energy = -22.222 eV/cell
Density = 8.92 g/cm3
SG = F-43m, No. 216
Crystal system = cubic
V = 30.85 Å³/atom

What is the density in the fourth record? 8.92 g/cm3

The highest VASP energy belongs to which entry? SrNdEuDy